SbAs2Se | PBE | optimized geometry

Lattice parameters (Å, degrees): 6.808 6.808 6.808 117.98 117.98 93.53
Atoms (fractional coordinates):
Sb: 0.000 0.000 0.000
Sb: 0.750 0.250 0.500
As: 0.133 0.625 0.008
As: 0.375 0.383 0.508
As: 0.617 0.125 0.992
As: 0.875 0.867 0.492
Se: 0.250 0.750 0.500
Se: 0.500 0.500 0.000

Computed properties:
- Space group: I-42d, No. 122
- Energy relative to the elements, uncorrected: 24.0 kJ/mol of atoms
- ΔE to the lowest computed polymorph: 233 meV per atom
- M_tot: 0.0 μB/cell
- DOS(E_F): 0.43 states/eV/atom